The following is a PBE calculation of an optimized crystal structure of Ho2VGe3, from the Alexandria database.

abc: 12.2999 8.0747 5.1531
angles: 90.00 90.00 90.00
With the nearest neighbours (Å) after each atom.
Space group Cmcm (No. 63)
Symmetry-distinct sites (fractional):
Ho1 0.1438 0.1760 0.2500 (multiplicity 8)  7 Ge 2.94-3.16
V1 0.0000 0.4184 0.7500 (multiplicity 4)  5 Ge 2.43-2.56
Ge1 0.0000 0.1169 0.7500 (multiplicity 4)  1 V 2.43
Ge2 0.1722 0.5000 0.0000 (multiplicity 8)  2 V 2.56, 2 Ge 2.58

The following is a PBE calculation of an optimized crystal structure of HoVGe, from the Alexandria database.

abc: 10.1165 4.5443 6.2184
angles: 90.00 90.00 90.00
With the nearest neighbours (Å) after each atom.
Space group Pnma (No. 62)
Symmetry-distinct sites (fractional):
Ho1 0.1693 0.2500 0.0453 (multiplicity 4)  4 Ge 2.78-2.90
V1 0.0000 0.0000 0.5000 (multiplicity 4)  2 V 2.27, 2 Ge 2.47
Ge1 0.1031 0.7500 0.8112 (multiplicity 4)  2 V 2.47

The following is a PBE calculation of an optimized crystal structure of YHoGe2, from the Alexandria database.

E above lowest polymorph: 0 meV/atom

abc: 3.9666 4.2757 10.7208
angles: 90.00 90.00 90.00
With the nearest neighbours (Å) after each atom.
Space group Amm2 (No. 38)
Symmetry-distinct sites (fractional):
Y1 0.0000 0.0000 0.0000 (multiplicity 2)  7 Ge 2.96-3.21
Ho1 0.5000 0.0000 0.7240 (multiplicity 2)  7 Ge 2.96-3.21
Ge1 0.0000 0.0000 0.2761 (multiplicity 2)  2 Ge 2.70, 1 Y 2.96, 4 Ho 2.97
Ge2 0.5000 0.0000 0.4475 (multiplicity 2)  2 Ge 2.70, 1 Ho 2.96, 4 Y 2.97

The following is a PBE calculation of an optimized crystal structure of YHo4Ge4, from the Alexandria database.

abc: 9.1199 9.1199 5.7930
angles: 90.00 90.00 90.00
With the nearest neighbours (Å) after each atom.
Space group P4_2/n (No. 86, origin choice 2)
Symmetry-distinct sites (fractional):
Y1 0.2500 0.2500 0.2500 (multiplicity 2)  4 Ge 2.89
Ho1 0.0812 0.6542 0.1371 (multiplicity 8)  5 Ge 2.91-2.98
Ge1 0.0288 0.6170 0.6387 (multiplicity 8)  1 Ge 2.72, 1 Y 2.89, 5 Ho 2.91-2.98

The following is a PBE calculation of an optimized crystal structure of YHo5Ge4, from the Alexandria database.

abc: 15.1559 4.9246 6.8820
angles: 90.00 90.05 90.00
With the nearest neighbours (Å) after each atom.
Space group C2/m (No. 12)
Symmetry-distinct sites (fractional):
Y1 0.0000 0.0000 0.0000 (multiplicity 2)  6 Ge 3.01-3.22
Ho1 0.0000 0.0000 0.5000 (multiplicity 2)  6 Ge 3.00-3.21
Ho2 0.1649 0.5000 0.5071 (multiplicity 4)  5 Ge 2.93-3.14
Ho3 0.1650 0.5000 0.9938 (multiplicity 4)  5 Ge 2.93-3.15
Ge1 0.0107 0.5000 0.2511 (multiplicity 4)  6 Ho 2.93-3.15, 2 Y 3.01
Ge2 0.1794 0.0000 0.7495 (multiplicity 4)  7 Ho 2.95-3.21, 1 Y 3.22

The following is a PBE calculation of an optimized crystal structure of YHoGe2, from the Alexandria database.

E above lowest polymorph: 215 meV/atom

abc: 4.1584 4.1584 20.1167
angles: 90.00 90.00 120.00
With the nearest neighbours (Å) after each atom.
Space group R-3m (No. 166, hexagonal axes)
Symmetry-distinct sites (fractional):
Y1 0.0000 0.0000 0.0000 (multiplicity 3)  6 Ge 2.94
Ho1 0.0000 0.0000 0.5000 (multiplicity 3)  6 Ge 2.91
Ge1 0.0000 0.0000 0.2488 (multiplicity 6)  3 Ho 2.91, 3 Y 2.94

The following is a PBE calculation of an optimized crystal structure of Y2HoGe2, from the Alexandria database.

abc: 12.2627 4.3799 10.4729
angles: 90.00 117.18 90.00
With the nearest neighbours (Å) after each atom.
Space group C2/m (No. 12)
Symmetry-distinct sites (fractional):
Y1 0.0174 0.0000 0.1861 (multiplicity 4)  6 Ge 3.03-3.24
Y2 0.1826 0.0000 0.5859 (multiplicity 4)  3 Ge 2.99-3.33
Ho1 0.2173 0.5000 0.8574 (multiplicity 4)  4 Ge 2.83-2.97
Ge1 0.0300 0.5000 0.3927 (multiplicity 4)  1 Ge 2.67, 1 Ho 2.97
Ge2 0.1193 0.5000 0.0658 (multiplicity 4)  1 Ge 2.60, 2 Ho 2.83

The following is a PBE calculation of an optimized crystal structure of Y3HoGe4, from the Alexandria database.

abc: 4.0214 6.3616 15.7563
angles: 90.00 90.00 90.00
With the nearest neighbours (Å) after each atom.
Space group Immm (No. 71)
Symmetry-distinct sites (fractional):
Y1 0.0000 0.0000 0.0000 (multiplicity 2)  8 Ge 3.14
Y2 0.0000 0.5000 0.1958 (multiplicity 4)  6 Ge 2.98-2.99
Ho1 0.0000 0.0000 0.5000 (multiplicity 2)  4 Ge 2.84
Ge1 0.0000 0.3059 0.3690 (multiplicity 8)  1 Ge 2.47

no.,formation energy from the elements (eV per atom),DOS(E_F) (states/eV per atom),size of the total moment (Bohr magnetons per cell)
1,-0.51,0.59,0.00
2,0.07,0.59,0.00
3,-0.88,0.66,0.00
4,-0.59,0.96,0.00
5,-0.64,0.51,0.00
6,-0.66,0.82,0.00
7,-0.70,0.62,0.00
8,-0.69,0.83,0.00